A relaxed structure of BaInGeIr2, computed with PBE.

Calculated values
Its space-group type is P4/mmm (123). The formation energy comes out at 0.31 eV per atom.

Unit cell a=4.777 b=5.386 c=4.777 alpha=90.00 beta=90.00 gamma=90.00
Atoms (fractional coordinates):
Ir 0.500 0.000 0.000
Ir 0.000 0.000 0.500
Ba 0.500 0.500 0.500
Ge 0.000 0.000 0.000
In 0.000 0.500 0.000


A relaxed structure of NpZn2Au9, computed with PBE.

Calculated values
Its space-group type is I4_1/amd (141). The formation energy comes out at -0.09 eV per atom.

Unit cell a=7.183 b=8.769 c=8.769 alpha=80.34 beta=65.82 gamma=65.82
Atoms (fractional coordinates):
Au 0.000 0.000 0.000
Au 0.991 0.928 0.686
Au 0.324 0.686 0.072
Au 0.759 0.814 0.572
Au 0.991 0.686 0.928
Au 0.605 0.314 0.072
Au 0.605 0.072 0.314
Au 0.145 0.186 0.428
Au 0.081 0.928 0.314
Au 0.324 0.072 0.686
Au 0.081 0.314 0.928
Au 0.145 0.428 0.186
Au 0.669 0.572 0.186
Au 0.669 0.186 0.572
Au 0.426 0.428 0.814
Au 0.759 0.572 0.814
Au 0.750 0.500 0.500
Au 0.426 0.814 0.428
Np 0.250 0.500 0.500
Np 0.500 0.000 0.000
Zn 0.875 0.250 0.250
Zn 0.375 0.750 0.750
Zn 0.875 0.250 0.750
Zn 0.875 0.750 0.250


A relaxed structure of ReMoC, computed with PBE.

Calculated values
Its space-group type is C2/m (12). The formation energy comes out at 0.06 eV per atom.

Unit cell a=2.937 b=5.064 c=5.154 alpha=99.22 beta=106.54 gamma=89.99
Atoms (fractional coordinates):
Mo 0.118 0.870 0.236
Mo 0.882 0.130 0.764
C 0.247 0.258 0.495
C 0.753 0.742 0.505
Re 0.613 0.369 0.226
Re 0.387 0.631 0.774


A relaxed structure of TlReSi2, computed with PBE.

Calculated values
The uncorrected formation energy comes out at 194.6 meV per atom. Its space-group type is P4/mmm (123). The value obtained for the excess energy over the best structure of this formula in the dataset is 25 meV per atom.

Unit cell a=3.101 b=3.101 c=7.772 alpha=90.00 beta=90.00 gamma=90.00
Atoms (fractional coordinates):
Re 0.500 0.500 0.750
Si 0.000 0.000 0.578
Si 0.000 0.000 0.922
Tl 0.500 0.500 0.250


A relaxed structure of Dy5AlCu2, computed with PBE.

Calculated values
Its space-group type is I4/mcm (140). The formation energy comes out at -0.21 eV per atom.

Unit cell a=7.801 b=7.801 c=8.509 alpha=117.29 beta=117.29 gamma=90.00
Atoms (fractional coordinates):
Al 0.750 0.750 0.500
Al 0.250 0.250 0.500
Dy 0.197 0.013 0.710
Dy 0.697 0.197 0.710
Dy 0.987 0.487 0.290
Dy 0.500 0.500 0.000
Dy 0.013 0.513 0.710
Dy 0.303 0.803 0.290
Dy 0.000 0.000 0.000
Dy 0.487 0.303 0.290
Dy 0.803 0.987 0.290
Dy 0.513 0.697 0.710
Cu 0.373 0.873 0.000
Cu 0.127 0.373 0.000
Cu 0.627 0.127 0.000
Cu 0.873 0.627 0.000


A relaxed structure of Li6PPt, computed with PBE.

Calculated values
Its space-group type is R-3 (148). The formation energy comes out at -0.27 eV per atom.

Unit cell a=7.087 b=7.087 c=7.087 alpha=45.54 beta=45.54 gamma=45.54
Atoms (fractional coordinates):
Li 0.721 0.095 0.424
Li 0.905 0.576 0.279
Li 0.576 0.279 0.905
Li 0.279 0.905 0.576
Li 0.095 0.424 0.721
Li 0.424 0.721 0.095
P 0.500 0.500 0.500
Pt 0.000 0.000 0.000


A relaxed structure of Li3Au5, computed with PBE.

Calculated values
Its space-group type is P6_3/mcm (193). The value obtained for the excess energy over the best structure of this formula in the dataset is 80 meV per atom. The formation energy comes out at -0.37 eV per atom.

Unit cell a=7.501 b=7.501 c=5.298 alpha=90.00 beta=90.00 gamma=120.00
Atoms (fractional coordinates):
Au 0.000 0.769 0.750
Au 0.231 0.231 0.750
Au 0.769 0.000 0.750
Au 0.769 0.769 0.250
Au 0.333 0.667 0.500
Au 0.333 0.667 0.000
Au 0.667 0.333 0.500
Au 0.231 0.000 0.250
Au 0.000 0.231 0.250
Au 0.667 0.333 0.000
Li 0.403 0.000 0.750
Li 0.597 0.597 0.750
Li 0.000 0.403 0.750
Li 0.403 0.403 0.250
Li 0.000 0.597 0.250
Li 0.597 0.000 0.250


A relaxed structure of Hf3NbC4, computed with PBE.

Calculated values
Its space-group type is Cmmm (65). The formation energy comes out at -0.85 eV per atom.

Unit cell a=3.263 b=5.640 c=5.640 alpha=109.40 beta=90.00 gamma=90.00
Atoms (fractional coordinates):
C 0.000 0.246 0.246
C 0.000 0.754 0.754
C 0.500 0.753 0.247
C 0.500 0.247 0.753
Hf 0.000 0.000 0.500
Hf 0.000 0.500 0.000
Hf 0.500 0.500 0.500
Nb 0.500 0.000 0.000


A relaxed structure of Dy2Co2Os, computed with PBE.

Calculated values
Its space-group type is C2/c (15). The formation energy comes out at -0.22 eV per atom.

Unit cell a=5.212 b=5.212 c=7.789 alpha=79.07 beta=79.07 gamma=62.22
Atoms (fractional coordinates):
Dy 0.771 0.532 0.346
Dy 0.532 0.771 0.846
Dy 0.229 0.468 0.654
Dy 0.468 0.229 0.154
Co 0.001 0.241 0.998
Co 0.759 0.999 0.502
Co 0.241 0.001 0.498
Co 0.999 0.759 0.002
Os 0.875 0.125 0.750
Os 0.125 0.875 0.250


A relaxed structure of LaSbPd2Cl, computed with PBE.

Calculated values
The uncorrected formation energy comes out at -414.5 meV per atom. Its space-group type is P4/mmm (123).

Unit cell a=4.960 b=5.369 c=4.960 alpha=90.00 beta=90.00 gamma=90.00
Atoms (fractional coordinates):
La 0.500 0.500 0.500
Sb 0.000 0.000 0.000
Pd 0.500 0.000 0.000
Pd 0.000 0.000 0.500
Cl 0.000 0.500 0.000


A relaxed structure of BaAl2Cd, computed with PBE.

Calculated values
Its space-group type is P4/mmm (123). The formation energy comes out at 0.00 eV per atom.

Unit cell a=3.764 b=3.765 c=7.683 alpha=90.00 beta=90.00 gamma=90.00
Atoms (fractional coordinates):
Al 0.000 0.000 0.930
Al 0.000 0.000 0.570
Cd 0.500 0.500 0.750
Ba 0.500 0.500 0.250


A relaxed structure of Nd6SbS5, computed with PBE.

Calculated values
The uncorrected formation energy comes out at -1852.6 meV per atom. Its space-group type is C2/m (12).

Unit cell a=7.211 b=7.187 c=7.186 alpha=60.00 beta=80.39 gamma=70.50
Atoms (fractional coordinates):
Nd 0.263 0.565 0.347
Nd 0.260 0.261 0.000
Nd 0.737 0.088 0.347
Nd 0.740 0.739 0.000
Nd 0.263 0.912 0.653
Nd 0.737 0.435 0.653
S 0.500 0.500 0.000
S 0.500 0.840 0.320
S 0.000 0.333 0.335
S 0.000 0.667 0.665
S 0.500 0.160 0.680
Sb 0.000 0.000 0.000